Computed, not measured: Al2CuAgTe4 after structural relaxation at the PBE-GGA level of DFT.

a = 8.6952 Å, b = 8.6974 Å, c = 12.5713 Å
α = 90.00°, β = 90.00°, γ = 90.00°
With the nearest neighbours (Å) after each atom.
Space group Fmm2 (No. 42)
Inequivalent atoms, fractional coordinates:
Al 0.2500 0.2500 0.0000 x8  4 Te 2.68
Cu 0.0000 0.0000 0.2504 x4  4 Te 2.59-2.60
Ag 0.0000 0.0000 0.7495 x4  4 Te 2.78
Te 0.0000 0.2367 0.1246 x8  1 Cu 2.60, 2 Al 2.68, 1 Ag 2.78
Te 0.2373 0.0000 0.3754 x8  1 Cu 2.59, 2 Al 2.68, 1 Ag 2.78

Values from the calculation:
Size of the total moment ... 0.00 μB/atom
Total DFT energy (no corrections) ... -118.45 eV for the cell shown
ΔE_f (raw) ... -0.3265 eV per atom

---

Computed, not measured: LaReBr2 after structural relaxation at the PBE-GGA level of DFT.

a = 7.5006 Å, b = 7.5006 Å, c = 7.5006 Å
α = 90.00°, β = 90.00°, γ = 90.00°
With the nearest neighbours (Å) after each atom.
Space group F-43m (No. 216)
Inequivalent atoms, fractional coordinates:
La 0.0000 0.0000 0.0000 x4  4 Re 3.25, 4 Br 3.25
Re 0.2500 0.2500 0.2500 x4  4 La 3.25, 4 Br 3.25
Br 0.0000 0.0000 0.5000 x4  4 Re 3.25, 4 Br 3.25
Br 0.2500 0.2500 0.7500 x4  4 La 3.25, 4 Br 3.25

Values from the calculation:
Size of the total moment ... 1.00 μB/atom
Total DFT energy (no corrections) ... -76.34 eV for the cell shown
ΔE_f (raw) ... 0.4089 eV per atom

---

Computed, not measured: LaSb2AsRh after structural relaxation at the PBE-GGA level of DFT.

a = 5.1939 Å, b = 5.1939 Å, c = 5.6044 Å
α = 90.00°, β = 90.00°, γ = 90.00°
With the nearest neighbours (Å) after each atom.
Space group P4/mmm (No. 123)
Inequivalent atoms, fractional coordinates:
La 0.0000 0.0000 0.0000 x1  2 As 2.80
Sb 0.0000 0.5000 0.5000 x2  2 As 2.60
As 0.0000 0.0000 0.5000 x1  4 Sb 2.60, 2 La 2.80
Rh 0.5000 0.5000 0.0000 x1  4 La 3.67, 8 Sb 3.82

Values from the calculation:
Size of the total moment ... 0.06 μB/atom
Total DFT energy (no corrections) ... -22.81 eV for the cell shown
ΔE_f (raw) ... 0.4729 eV per atom

---

Computed, not measured: Cs3GeAu after structural relaxation at the PBE-GGA level of DFT.

a = 6.7894 Å, b = 6.7894 Å, c = 6.7894 Å
α = 90.00°, β = 90.00°, γ = 90.00°
With the nearest neighbours (Å) after each atom.
Space group Pm-3m (No. 221)
Inequivalent atoms, fractional coordinates:
Cs 0.0000 0.0000 0.5000 x3  2 Au 3.39
Ge 0.5000 0.5000 0.5000 x1  12 Cs 4.80
Au 0.0000 0.0000 0.0000 x1  6 Cs 3.39

Values from the calculation:
Size of the total moment ... 0.40 μB/atom
Total DFT energy (no corrections) ... -9.62 eV for the cell shown

---

Computed, not measured: NdEuSbPd after structural relaxation at the PBE-GGA level of DFT.

a = 7.5504 Å, b = 7.5504 Å, c = 7.5504 Å
α = 90.00°, β = 90.00°, γ = 90.00°
With the nearest neighbours (Å) after each atom.
Space group F-43m (No. 216)
Inequivalent atoms, fractional coordinates:
Nd 0.0000 0.0000 0.0000 x4  4 Pd 3.27, 4 Sb 3.27
Eu 0.0000 0.0000 0.5000 x4  4 Sb 3.27, 4 Pd 3.27
Sb 0.2500 0.2500 0.2500 x4  4 Nd 3.27, 4 Eu 3.27
Pd 0.2500 0.2500 0.7500 x4  4 Nd 3.27, 4 Eu 3.27

Values from the calculation:
Size of the total moment ... 1.81 μB/atom
Total DFT energy (no corrections) ... -110.44 eV for the cell shown
ΔE_f (raw) ... -0.8134 eV per atom

---

Computed, not measured: RbSn2GeCl8 after structural relaxation at the PBE-GGA level of DFT.

a = 6.6183 Å, b = 6.7654 Å, c = 8.9503 Å
α = 85.32°, β = 86.11°, γ = 85.73°
With the nearest neighbours (Å) after each atom.
Space group P-1 (No. 2)
Inequivalent atoms, fractional coordinates:
Rb 0.0000 0.0000 0.0000 x1  6 Cl 3.25-3.27
Sn 0.4691 0.4738 0.2588 x2  4 Cl 2.55-2.80
Ge 0.0000 0.0000 0.5000 x1  6 Cl 2.52-2.61
Cl 0.2127 0.8154 0.3048 x2  1 Ge 2.52, 1 Sn 2.80
Cl 0.2141 0.8177 0.6978 x2  1 Ge 2.53, 1 Sn 2.79
Cl 0.2499 0.2827 0.4726 x2  1 Ge 2.61, 1 Sn 2.63
Cl 0.2977 0.3498 0.0408 x2  1 Sn 2.55

Values from the calculation:
Size of the total moment ... 0.00 μB/atom
Total DFT energy (no corrections) ... -40.87 eV for the cell shown
ΔE_f (raw) ... -1.0421 eV per atom

---

Computed, not measured: NpPN after structural relaxation at the PBE-GGA level of DFT.

a = 3.7869 Å, b = 12.2706 Å, c = 3.9059 Å
α = 90.00°, β = 90.00°, γ = 90.00°
With the nearest neighbours (Å) after each atom.
Space group Cmcm (No. 63)
Inequivalent atoms, fractional coordinates:
Np 0.0000 0.1546 0.2500 x4  4 N 2.21-2.29
P 0.0000 0.4569 0.2500 x4  2 P 2.22
N 0.0000 0.2529 0.7500 x4  4 Np 2.21-2.29

Values from the calculation:
Size of the total moment ... 0.87 μB/atom
Total DFT energy (no corrections) ... -118.00 eV for the cell shown
ΔE_f (raw) ... -0.9412 eV per atom

---

Computed, not measured: BaMgHg2Cl8 after structural relaxation at the PBE-GGA level of DFT.

a = 6.5834 Å, b = 6.5834 Å, c = 8.9162 Å
α = 90.00°, β = 90.00°, γ = 120.00°
With the nearest neighbours (Å) after each atom.
Space group P-3 (No. 147)
Inequivalent atoms, fractional coordinates:
Ba 0.0000 0.0000 0.0000 x1  12 Cl 3.50-3.80
Mg 0.0000 0.0000 0.5000 x1  6 Cl 2.50
Hg 0.3333 0.6667 0.7163 x2  4 Cl 2.53-2.55
Cl 0.0376 0.7234 0.3254 x6  1 Mg 2.50, 1 Hg 2.53
Cl 0.3333 0.6667 0.0027 x2  1 Hg 2.55

Values from the calculation:
Size of the total moment ... 0.00 μB/atom
Total DFT energy (no corrections) ... -34.58 eV for the cell shown
ΔE_f (raw) ... -1.3070 eV per atom

---

Computed, not measured: Cd6In2Ga2Sn after structural relaxation at the PBE-GGA level of DFT.

a = 5.1555 Å, b = 5.6073 Å, c = 10.6708 Å
α = 77.77°, β = 82.13°, γ = 63.84°
With the nearest neighbours (Å) after each atom.
Space group P-1 (No. 2)
Inequivalent atoms, fractional coordinates:
Cd 0.0714 0.4264 0.2366 x2  5 Cd 2.95-3.29, 2 Ga 3.06-3.13, 1 In 3.06, 1 Sn 3.20
Cd 0.2320 0.9254 0.7261 x2  4 Cd 2.95-3.28, 2 In 3.12-3.14
Cd 0.4097 0.7705 0.2466 x2  5 Cd 2.99-3.29, 2 Ga 3.02-3.25, 2 In 3.07-3.32, 1 Sn 3.19
In 0.3328 0.3298 0.4937 x2  5 Cd 3.06-3.32, 3 In 3.11-3.30
Ga 0.1740 0.1450 0.9992 x2  2 Ga 2.90-3.02, 4 Cd 3.02-3.25, 3 Sn 3.12-3.25
Sn 0.5000 0.5000 0.0000 x1  6 Ga 3.12-3.25, 6 Cd 3.19-3.37

Values from the calculation:
Size of the total moment ... 0.00 μB/atom
Total DFT energy (no corrections) ... -20.44 eV for the cell shown

---

Computed, not measured: GdDyCo after structural relaxation at the PBE-GGA level of DFT.

a = 6.6491 Å, b = 6.6491 Å, c = 6.6491 Å
α = 90.00°, β = 90.00°, γ = 90.00°
With the nearest neighbours (Å) after each atom.
Space group F-43m (No. 216)
Inequivalent atoms, fractional coordinates:
Gd 0.0000 0.0000 0.0000 x4  4 Co 2.88
Dy 0.0000 0.0000 0.5000 x4  4 Co 2.88
Co 0.2500 0.2500 0.2500 x4  4 Gd 2.88, 4 Dy 2.88

Values from the calculation:
Size of the total moment ... 2.46 μB/atom
Total DFT energy (no corrections) ... -103.73 eV for the cell shown

---

Computed, not measured: La8FeRh3Br4 after structural relaxation at the PBE-GGA level of DFT.

a = 8.2969 Å, b = 8.2969 Å, c = 23.8144 Å
α = 90.00°, β = 90.00°, γ = 120.00°
With the nearest neighbours (Å) after each atom.
Space group R-3m (No. 166, hexagonal axes)
Inequivalent atoms, fractional coordinates:
La 0.0000 0.0000 0.2319 x6  3 Rh 2.85
La 0.0119 0.5059 0.2317 x18  1 Fe 2.78, 2 Rh 2.89
Fe 0.0000 0.0000 0.5000 x3  6 La 2.78
Rh 0.0000 0.5000 0.5000 x9  6 La 2.85-2.89
Br 0.0000 0.0000 0.0000 x3  6 La 3.47
Br 0.0000 0.5000 0.0000 x9  6 La 3.38-3.40

Values from the calculation:
Size of the total moment ... 0.00 μB/atom
Total DFT energy (no corrections) ... -280.34 eV for the cell shown
ΔE_f (raw) ... -1.0511 eV per atom

---

Computed, not measured: Tb2PaH after structural relaxation at the PBE-GGA level of DFT.

a = 3.2381 Å, b = 3.2381 Å, c = 8.3659 Å
α = 90.00°, β = 90.00°, γ = 90.00°
With the nearest neighbours (Å) after each atom.
Space group P4/mmm (No. 123)
Inequivalent atoms, fractional coordinates:
Tb 0.0000 0.0000 0.1957 x2  4 H 2.81
Pa 0.5000 0.5000 0.5000 x1  4 Pa 3.24, 8 Tb 3.42
H 0.5000 0.5000 0.0000 x1  8 Tb 2.81

Values from the calculation:
Size of the total moment ... 0.00 μB/atom
Total DFT energy (no corrections) ... -21.38 eV for the cell shown

---

- Which of these has the highest size of the total moment?
  GdDyCo

---

- What is the total DFT energy (no corrections) in the eighth record?
  -34.58 eV for the cell shown

---

- What is the formula in the ninth record?
  Cd6In2Ga2Sn